Record 1
VASP calculation (GGA-PBE) on crystalline GdCdNi at its relaxed geometry.

- Energy of formation from the pure elements: -0.21 eV/atom

Lattice parameters (Å, degrees): 5.865 5.865 5.865 146.25 146.25 48.48
Atoms (fractional coordinates):
Gd 0.000 0.000 0.000
Cd 0.713 0.713 0.000
Ni 0.352 0.352 0.000

---

Record 2
VASP calculation (GGA-PBE) on crystalline LiGe3O at its relaxed geometry.

- Formation energy from raw total energies: -0.09 eV per atom

Lattice parameters (Å, degrees): 4.459 4.459 4.459 90.00 90.00 90.00
Atoms (fractional coordinates):
Li 0.000 0.000 0.000
Ge 0.000 0.500 0.500
Ge 0.500 0.000 0.500
Ge 0.500 0.500 0.000
O 0.500 0.500 0.500

---

Record 3
VASP calculation (GGA-PBE) on crystalline NiGeSb at its relaxed geometry.

- Formation energy from raw total energies: 0.00 eV per atom

Lattice parameters (Å, degrees): 3.854 3.854 4.589 90.00 90.00 120.00
Atoms (fractional coordinates):
Ni 0.000 0.000 0.000
Ge 0.333 0.667 0.194
Sb 0.667 0.333 0.712

---

Record 4
VASP calculation (GGA-PBE) on crystalline LaO2F at its relaxed geometry.

- Formation energy from raw total energies: -2.31 eV per atom

Lattice parameters (Å, degrees): 9.046 9.046 9.046 156.20 156.20 33.91
Atoms (fractional coordinates):
La 0.000 0.000 0.000
La 0.750 0.250 0.500
O 0.375 0.064 0.189
O 0.814 0.625 0.689
O 0.875 0.186 0.811
O 0.936 0.125 0.311
F 0.250 0.750 0.500
F 0.500 0.500 0.000

---

Record 5
VASP calculation (GGA-PBE) on crystalline Pm2YSb at its relaxed geometry.

- Formation energy from raw total energies: -0.52 eV per atom

Lattice parameters (Å, degrees): 4.826 4.826 4.951 90.00 90.00 90.00
Atoms (fractional coordinates):
Pm 0.000 0.500 0.000
Pm 0.500 0.000 0.000
Y 0.000 0.000 0.500
Sb 0.500 0.500 0.500

---

Record 6
VASP calculation (GGA-PBE) on crystalline MnAsPSe2 at its relaxed geometry.

- Formation energy from raw total energies: 0.66 eV per atom

Lattice parameters (Å, degrees): 4.582 4.582 4.665 90.00 90.00 90.00
Atoms (fractional coordinates):
Mn 0.000 0.000 0.000
As 0.000 0.000 0.500
P 0.500 0.500 0.500
Se 0.000 0.500 0.000
Se 0.500 0.000 0.000

---

Record 7
VASP calculation (GGA-PBE) on crystalline Na2LiLa at its relaxed geometry.

- Energy of formation from the pure elements: 0.37 eV/atom

Lattice parameters (Å, degrees): 13.075 13.075 13.075 159.62 159.62 28.97
Atoms (fractional coordinates):
Na 0.093 0.625 0.968
Na 0.375 0.343 0.468
Na 0.657 0.125 0.032
Na 0.875 0.907 0.532
Li 0.000 0.000 0.000
Li 0.750 0.250 0.500
La 0.250 0.750 0.500
La 0.500 0.500 0.000

---

Record 8
VASP calculation (GGA-PBE) on crystalline Ga2HgOs at its relaxed geometry.

- Energy of formation from the pure elements: 0.70 eV/atom

Lattice parameters (Å, degrees): 7.249 7.249 7.249 130.80 130.80 72.13
Atoms (fractional coordinates):
Ga 0.060 0.625 0.935
Ga 0.375 0.310 0.435
Ga 0.690 0.125 0.065
Ga 0.875 0.940 0.565
Hg 0.250 0.750 0.500
Hg 0.500 0.500 0.000
Os 0.000 0.000 0.000
Os 0.750 0.250 0.500

---

Record 9
VASP calculation (GGA-PBE) on crystalline Sc4Cu2Tc at its relaxed geometry.

- Energy of formation from the pure elements: -0.15 eV/atom

Lattice parameters (Å, degrees): 4.557 4.557 6.529 90.00 90.00 90.00
Atoms (fractional coordinates):
Sc 0.000 0.500 0.245
Sc 0.000 0.500 0.755
Sc 0.500 0.000 0.245
Sc 0.500 0.000 0.755
Cu 0.000 0.000 0.000
Cu 0.500 0.500 0.500
Tc 0.500 0.500 0.000

---

Record 10
VASP calculation (GGA-PBE) on crystalline GaAg3P at its relaxed geometry.

- Energy of formation from the pure elements: 0.82 eV/atom

Lattice parameters (Å, degrees): 4.838 4.838 4.838 90.00 90.00 90.00
Atoms (fractional coordinates):
Ga 0.000 0.000 0.000
Ag 0.000 0.000 0.500
Ag 0.000 0.500 0.000
Ag 0.500 0.000 0.000
P 0.500 0.500 0.500

---

Record 11
VASP calculation (GGA-PBE) on crystalline Sc3AgO at its relaxed geometry.

- Formation energy from raw total energies: 0.08 eV per atom

Lattice parameters (Å, degrees): 11.635 11.635 11.635 157.05 157.05 32.68
Atoms (fractional coordinates):
Sc 0.189 0.189 0.000
Sc 0.380 0.141 0.761
Sc 0.380 0.619 0.239
Sc 0.381 0.620 0.761
Sc 0.811 0.811 0.000
Sc 0.859 0.620 0.239
Ag 0.250 0.750 0.500
Ag 0.500 0.500 0.000
O 0.648 0.148 0.500
O 0.852 0.352 0.500

---

Record 12
VASP calculation (GGA-PBE) on crystalline BeCu2Si at its relaxed geometry.

- Formation energy from raw total energies: 0.08 eV per atom

Lattice parameters (Å, degrees): 2.503 2.503 7.359 90.00 90.00 90.00
Atoms (fractional coordinates):
Be 0.000 0.000 0.000
Cu 0.500 0.500 0.217
Cu 0.500 0.500 0.783
Si 0.000 0.000 0.500

---

Record 13
VASP calculation (GGA-PBE) on crystalline Pm4Nd3Er2 at its relaxed geometry.

- Energy of formation from the pure elements: 0.02 eV/atom

Lattice parameters (Å, degrees): 8.127 8.127 10.868 103.04 103.04 25.80
Atoms (fractional coordinates):
Pm 0.001 0.001 0.332
Pm 0.333 0.333 0.111
Pm 0.667 0.667 0.889
Pm 0.999 0.999 0.668
Nd 0.000 0.000 0.000
Nd 0.332 0.332 0.444
Nd 0.668 0.668 0.556
Er 0.333 0.333 0.778
Er 0.667 0.667 0.222

---

Record 14
VASP calculation (GGA-PBE) on crystalline Co3CuHg at its relaxed geometry.

- Energy of formation from the pure elements: 1.16 eV/atom

Lattice parameters (Å, degrees): 4.362 4.362 4.362 90.00 90.00 90.00
Atoms (fractional coordinates):
Co 0.000 0.000 0.500
Co 0.000 0.500 0.000
Co 0.500 0.000 0.000
Cu 0.000 0.000 0.000
Hg 0.500 0.500 0.500

---

Record 15
VASP calculation (GGA-PBE) on crystalline Mg5HIr3 at its relaxed geometry.

- Electronic total energy: -40.46 eV/f.u.

Lattice parameters (Å, degrees): 4.548 6.372 4.581 90.00 91.94 90.00
Atoms (fractional coordinates):
Mg 0.000 0.000 0.000
Mg 0.016 0.274 0.469
Mg 0.016 0.726 0.469
Mg 0.513 0.273 0.929
Mg 0.513 0.727 0.929
H 0.277 0.000 0.668
Ir 0.015 0.500 0.964
Ir 0.517 0.500 0.430
Ir 0.530 0.000 0.411

---

Record 16
VASP calculation (GGA-PBE) on crystalline NbSe2SN at its relaxed geometry.

- Formation energy from raw total energies: 0.43 eV per atom

Lattice parameters (Å, degrees): 5.145 5.145 3.901 90.00 90.00 90.00
Atoms (fractional coordinates):
Nb 0.000 0.000 0.000
Se 0.000 0.500 0.000
Se 0.500 0.000 0.000
S 0.500 0.500 0.500
N 0.000 0.000 0.500

---

Record 17
VASP calculation (GGA-PBE) on crystalline BaPuBe2F8 at its relaxed geometry.

- Formation energy from raw total energies: -3.37 eV per atom

Lattice parameters (Å, degrees): 8.194 8.194 8.194 36.61 36.61 36.61
Atoms (fractional coordinates):
Ba 0.000 0.000 0.000
Pu 0.500 0.500 0.500
Be 0.256 0.256 0.256
Be 0.744 0.744 0.744
F 0.033 0.803 0.461
F 0.197 0.539 0.967
F 0.324 0.324 0.324
F 0.461 0.033 0.803
F 0.539 0.967 0.197
F 0.676 0.676 0.676
F 0.803 0.461 0.033
F 0.967 0.197 0.539

---

Calculated mass density (Mg/m³), listed in the same order as above: 8.79 4.51 7.12 5.24 7.21 5.40 2.35 8.25 4.96 6.22 3.59 5.91 7.36 8.82 8.75 4.77 5.22
Calculated Fermi-level density of states (states/eV per atom), listed in the same order as above: 0.488 0.687 0.542 0.078 0.923 1.008 1.238 0.703 0.974 0.819 0.894 0.268 1.328 2.218 0.356 1.069 1.129